10
Lattice="5.982 0.000 0.000 2.991 5.181 0.000 2.991 1.727 4.884" Properties=species:S:1:pos:R:3 comment="K2NaMnF6 PBE+U relaxed" e_tot_ev_per_atom=-4.9205 vol_a3_per_cell=151 dos_at_fermi_per_ev_cell=6.853 spacegroup=Fm-3m pbc="T T T"
Na 5.982 3.454 2.442
K 2.991 1.727 1.221
K 8.973 5.181 3.663
Mn 0.000 0.000 0.000
F 5.982 5.300 3.747
F 7.581 2.531 3.747
F 4.384 4.377 1.137
F 7.581 4.377 1.137
F 5.982 1.608 1.137
F 4.384 2.531 3.747


20
Lattice="5.886 0.000 0.000 0.000 5.883 0.000 0.000 0.000 8.317" Properties=species:S:1:pos:R:3 comment="K2MnNiF6 PBE+U relaxed" e_tot_ev_per_atom=-4.9731 vol_a3_per_cell=288 dos_at_fermi_per_ev_cell=0.000 spacegroup=Fm-3m pbc="T T T"
K 2.943 4.412 2.080
K 0.000 1.471 6.239
K 2.943 4.412 6.237
K 0.000 1.471 2.078
Mn 0.000 4.412 4.159
Mn 2.943 1.470 0.000
Ni 2.943 1.471 4.159
Ni 0.000 4.412 0.000
F 2.943 1.471 2.128
F 2.943 1.471 6.189
F 0.000 4.412 2.031
F 0.000 4.412 6.287
F 1.506 0.035 4.159
F 4.379 0.035 4.159
F 1.506 2.907 4.159
F 4.379 2.907 4.159
F 4.449 2.976 0.000
F 1.437 2.976 0.000
F 1.437 5.848 0.000
F 4.449 5.848 0.000


5
Lattice="-4.249 -4.091 -1.514 -0.563 -0.773 3.669 -4.268 4.336 0.259" Properties=species:S:1:pos:R:3 comment="K2MnNiF PBE+U relaxed" e_tot_ev_per_atom=-2.8295 vol_a3_per_cell=141 dos_at_fermi_per_ev_cell=3.225 spacegroup=P4/mmm pbc="T T T"
Ni -0.282 -0.387 1.834
K -2.134 2.168 0.130
K -2.124 -2.046 -0.757
Mn -4.540 -0.264 1.207
F 0.000 0.000 0.000


18
Lattice="7.361 0.130 0.092 3.748 6.337 0.092 3.748 2.182 5.950" Properties=species:S:1:pos:R:3 comment="K2MnNi3F12 PBE+U relaxed" e_tot_ev_per_atom=-4.5522 vol_a3_per_cell=272 spacegroup=R-3m pbc="T T T"
K 8.948 5.208 3.694
K 5.910 3.440 2.440
Mn 0.000 0.000 0.000
Ni 3.681 0.065 0.046
Ni 1.874 3.168 0.046
Ni 1.874 1.091 2.975
F 7.153 4.163 5.562
F 11.507 6.698 1.973
F 9.227 7.993 5.669
F 9.294 2.947 2.091
F 11.507 4.076 5.669
F 7.153 6.626 2.091
F 7.705 4.485 0.572
F 3.351 1.951 4.162
F 5.631 0.656 0.465
F 5.564 5.701 4.044
F 3.351 4.572 0.465
F 7.705 2.023 4.044


36
Lattice="-7.164 6.421 8.612 -3.005 -4.511 0.863 2.730 -4.644 5.734" Properties=species:S:1:pos:R:3 comment="KMnPO3F3 PBE+U relaxed" e_tot_ev_per_atom=-6.2437 vol_a3_per_cell=509 spacegroup=P2_1/c pbc="T T T"
K -1.209 -5.400 6.917
K -3.273 -2.452 4.890
K -6.230 2.666 8.292
K -4.167 -0.282 10.319
Mn -0.138 -4.577 3.299
Mn -5.085 0.955 4.737
Mn 0.000 0.000 0.000
Mn -2.217 0.888 7.173
P -0.270 -1.349 2.831
P -0.970 -1.820 8.180
P -7.170 -1.385 12.378
P -6.469 -0.914 7.028
O -2.103 -5.080 4.250
O -2.683 -5.658 9.455
O -5.337 2.345 10.959
O -4.757 2.924 5.754
O -0.340 -1.451 1.302
O -2.185 -0.896 8.027
O -7.099 -1.283 13.907
O -5.255 -1.838 7.181
O -0.538 -2.679 3.540
O -1.282 -3.110 8.943
O -6.902 -0.055 11.669
O -6.157 0.376 6.266
F 0.628 -4.621 5.037
F -3.528 0.202 5.525
F -8.067 1.887 10.172
F -3.911 -2.936 9.684
F -3.435 -3.208 2.126
F -3.734 -4.039 6.993
F -4.004 0.474 13.083
F -3.706 1.304 8.216
F -1.583 -0.517 3.249
F -0.706 -2.401 6.703
F -5.857 -2.217 11.960
F -6.733 -0.333 8.506


9
Lattice="-3.054 4.025 -3.612 -0.708 -0.682 -5.478 -4.858 -2.436 0.703" Properties=species:S:1:pos:R:3 comment="KMnPdF6 PBE+U relaxed" e_tot_ev_per_atom=-4.8763 vol_a3_per_cell=157 spacegroup=P1 pbc="T T T"
K -0.737 -0.592 -5.352
Mn -4.939 1.018 -5.701
Pd -3.687 -0.098 -2.666
F -4.387 2.715 -5.292
F -5.203 -0.850 -6.248
F -5.912 0.747 -4.174
F -6.768 1.953 -6.618
F -3.156 0.232 -4.569
F -4.161 1.162 -7.498


20
Lattice="-3.046 -3.110 -4.217 4.649 0.650 -3.838 3.426 -7.304 2.912" Properties=species:S:1:pos:R:3 comment="K2MnPdF6 PBE+U relaxed" e_tot_ev_per_atom=-4.9233 vol_a3_per_cell=315 spacegroup=Fm-3m pbc="T T T"
K 2.819 -2.892 -4.260
K 3.731 -5.314 1.224
K 4.534 -6.546 -2.803
K 2.019 -1.665 -0.231
Mn 1.351 -5.044 -1.611
Mn 3.487 0.488 -2.879
Pd 5.198 -3.164 -1.422
Pd -0.360 -1.392 -3.069
F 0.523 -3.278 -2.316
F 2.180 -6.811 -0.907
F 4.315 -1.279 -2.174
F 6.084 -5.049 -0.671
F 0.963 -4.449 0.340
F -0.514 -5.956 -1.703
F 3.215 -4.133 -1.518
F 1.737 -5.641 -3.563
F 0.055 -2.025 -5.144
F 1.623 -0.424 -2.973
F 3.876 -0.108 -4.831
F 2.306 -1.711 -7.004


20
Lattice="6.026 0.000 0.000 0.000 6.752 0.000 0.000 0.000 8.892" Properties=species:S:1:pos:R:3 comment="K2PmMnF6 PBE+U relaxed" e_tot_ev_per_atom=-5.4830 vol_a3_per_cell=362 dos_at_fermi_per_ev_cell=3.049 spacegroup=Pmmn pbc="T T T"
K 3.013 5.433 1.986
K 0.000 1.319 6.432
K 3.013 5.433 6.906
K 0.000 1.319 2.460
Pm 0.000 4.809 4.446
Pm 3.013 1.942 0.000
Mn 3.013 1.569 4.446
Mn 0.000 5.182 0.000
F 3.013 1.476 2.246
F 3.013 1.476 6.646
F 0.000 5.275 2.200
F 0.000 5.275 6.692
F 1.466 6.724 4.446
F 4.560 6.724 4.446
F 1.334 2.887 4.446
F 4.692 2.887 4.446
F 4.347 3.864 0.000
F 1.679 3.864 0.000
F 1.547 0.028 0.000
F 4.479 0.028 0.000